PaPt4: optimized geometry, PBE.

Computed properties:
The total magnetization is 0.00 μB per formula unit. Its density of states at the Fermi level is 7.1 states/eV/cell. As for the energy relative to the elements: 5.0 eV/f.u.

a b c (Å): 5.051 5.051 5.051
angles (deg): 90.00 90.00 90.00
Fractional positions:
Pa (0.000, 0.000, 0.000)
Pt (0.000, 0.000, 0.500)
Pt (0.000, 0.500, 0.000)
Pt (0.500, 0.000, 0.000)
Pt (0.500, 0.500, 0.500)

***

Pa3Pt: optimized geometry, PBE.

Computed properties:
Its relative energy among the computed polymorphs is 5 meV per atom. The total magnetization is 0.00 μB per formula unit. Its density of states at the Fermi level is 11.7 states/eV/cell. As for the energy relative to the elements: -1.6 eV/f.u.

a b c (Å): 6.456 3.403 8.784
angles (deg): 90.00 99.45 90.00
Fractional positions:
Pa (0.041, 0.250, 0.333)
Pa (0.208, 0.250, 0.937)
Pa (0.367, 0.750, 0.608)
Pa (0.633, 0.250, 0.392)
Pa (0.792, 0.750, 0.063)
Pa (0.959, 0.750, 0.667)
Pt (0.347, 0.750, 0.193)
Pt (0.653, 0.250, 0.807)

***

Pa3Pt: optimized geometry, PBE.

Computed properties:
Its relative energy among the computed polymorphs is 124 meV per atom. The total magnetization is 0.00 μB per formula unit. Its density of states at the Fermi level is 45.8 states/eV/cell. As for the energy relative to the elements: -1.1 eV/f.u.

a b c (Å): 7.095 7.095 7.095
angles (deg): 90.00 90.00 90.00
Fractional positions:
Pa (0.000, 0.000, 0.000)
Pa (0.000, 0.500, 0.500)
Pa (0.250, 0.250, 0.250)
Pa (0.250, 0.250, 0.750)
Pa (0.250, 0.750, 0.250)
Pa (0.250, 0.750, 0.750)
Pa (0.500, 0.000, 0.500)
Pa (0.500, 0.500, 0.000)
Pa (0.750, 0.250, 0.250)
Pa (0.750, 0.250, 0.750)
Pa (0.750, 0.750, 0.250)
Pa (0.750, 0.750, 0.750)
Pt (0.000, 0.000, 0.500)
Pt (0.000, 0.500, 0.000)
Pt (0.500, 0.000, 0.000)
Pt (0.500, 0.500, 0.500)

***

Pa5Pt4: optimized geometry, PBE.

Computed properties:
The total magnetization is 0.00 μB per formula unit. Its density of states at the Fermi level is 12.0 states/eV/cell. As for the energy relative to the elements: -5.8 eV/f.u.

a b c (Å): 7.684 7.684 7.684
angles (deg): 152.94 99.39 86.92
Fractional positions:
Pa (0.000, 0.000, 0.000)
Pa (0.283, 0.283, 0.000)
Pa (0.318, 0.000, 0.318)
Pa (0.682, 0.000, 0.682)
Pa (0.717, 0.717, 0.000)
Pt (0.020, 0.332, 0.688)
Pt (0.355, 0.668, 0.688)
Pt (0.645, 0.332, 0.312)
Pt (0.980, 0.668, 0.312)

***

Values of final energy, in order: -28.64, -72.22, -142.53, -77.45, all in eV for the cell shown.